Below is a relaxed structure of Rb2MnBeS4, with properties calculated at the GGA-PBE level.

The structure in CIF format:
```
data_Rb2MnBeS4
_symmetry_space_group_name_H-M 'F d d d'
_symmetry_Int_Tables_number 70
_cell_length_a 5.615
_cell_length_b 13.169
_cell_length_c 23.707
_cell_angle_alpha 90.00
_cell_angle_beta 90.00
_cell_angle_gamma 90.00
loop_
_symmetry_equiv_pos_as_xyz
'x,y,z'
'-x,-y,-z'
'-x+1/4,-y+1/4,z'
'x+1/4,y+1/4,-z'
'x,-y+1/4,-z+1/4'
'-x,y+1/4,z+1/4'
'-x+1/4,y,-z+1/4'
'x+1/4,-y,z+1/4'
'x,y+1/2,z+1/2'
'-x,-y+1/2,-z+1/2'
'-x+1/4,-y+3/4,z+1/2'
'x+1/4,y+3/4,-z+1/2'
'x,-y+3/4,-z+3/4'
'-x,y+3/4,z+3/4'
'-x+1/4,y+1/2,-z+3/4'
'x+1/4,-y+1/2,z+3/4'
'x+1/2,y,z+1/2'
'-x+1/2,-y,-z+1/2'
'-x+3/4,-y+1/4,z+1/2'
'x+3/4,y+1/4,-z+1/2'
'x+1/2,-y+1/4,-z+3/4'
'-x+1/2,y+1/4,z+3/4'
'-x+3/4,y,-z+3/4'
'x+3/4,-y,z+3/4'
'x+1/2,y+1/2,z'
'-x+1/2,-y+1/2,-z'
'-x+3/4,-y+3/4,z'
'x+3/4,y+3/4,-z'
'x+1/2,-y+3/4,-z+1/4'
'-x+1/2,y+3/4,z+1/4'
'-x+3/4,y+1/2,-z+1/4'
'x+3/4,-y+1/2,z+1/4'
loop_
_atom_site_label
_atom_site_fract_x
_atom_site_fract_y
_atom_site_fract_z
Rb1 0.125 0.125 0.303
Mn1 0.125 0.125 0.625
Be1 0.125 0.125 0.125
S1 0.114 0.287 0.423
```

density = 2.75 g/cm3
raw formation energy = -0.93 eV/atom

Below is a relaxed structure of LiSi2Ru, with properties calculated at the GGA-PBE level.

The structure in CIF format:
```
data_LiSi2Ru
_symmetry_space_group_name_H-M 'R -3 m'
_symmetry_Int_Tables_number 166
_symmetry_space_group_name_Hall '-R 3 2"'
_cell_length_a 2.9281
_cell_length_b 2.9281
_cell_length_c 24.1571
_cell_angle_alpha 90.00
_cell_angle_beta 90.00
_cell_angle_gamma 120.00
loop_
_atom_site_label
_atom_site_fract_x
_atom_site_fract_y
_atom_site_fract_z
Li1 0.0000 0.0000 0.0000
Si1 0.0000 0.0000 0.2413
Ru1 0.0000 0.0000 0.5000
```

density = 4.56 g/cm3
raw formation energy = -0.22 eV/atom

Below is a relaxed structure of AcDyPd4, with properties calculated at the GGA-PBE level.

The structure in CIF format:
```
data_AcDyPd4
_symmetry_space_group_name_H-M 'F -4 3 m'
_symmetry_Int_Tables_number 216
_symmetry_space_group_name_Hall 'F -4 2 3'
_cell_length_a 7.869
_cell_length_b 7.869
_cell_length_c 7.869
_cell_angle_alpha 90.00
_cell_angle_beta 90.00
_cell_angle_gamma 90.00
loop_
_atom_site_label
_atom_site_fract_x
_atom_site_fract_y
_atom_site_fract_z
Ac1 0.000 0.000 0.000
Dy1 0.250 0.250 0.250
Pd1 0.124 0.124 0.624
```

calculated formation energy = -767 meV per atom
density = 11.11 g/cm3